(1)
# PBE NaAcEu, relaxed
data_NaAcEu
_chemical_formula_sum 'Na1 Ac1 Eu1'
_symmetry_space_group_name_H-M 'P 1'
_symmetry_Int_Tables_number 1
_symmetry_space_group_name_Hall 'P 1'
_cell_length_a 3.9052
_cell_length_b 3.9052
_cell_length_c 9.7207
_cell_angle_alpha 90.00
_cell_angle_beta 90.00
_cell_angle_gamma 120.00
loop_
_atom_site_label
_atom_site_type_symbol
_atom_site_fract_x
_atom_site_fract_y
_atom_site_fract_z
Na1 Na 0.0000 0.0000 0.0002
Ac1 Ac 0.6667 0.3333 0.3365
Eu1 Eu 0.3333 0.6667 0.6633
# E_form: 0.08 eV/atom
# DOS at the Fermi energy: 2.9 states/eV per cell
# distance to the lowest polymorph of the same formula: 0.0 kJ per mole of atoms

(2)
# PBE NaAcEu2, relaxed
data_NaAcEu2
_chemical_formula_sum 'Na1 Ac1 Eu2'
_symmetry_space_group_name_H-M 'P 1'
_symmetry_Int_Tables_number 1
_symmetry_space_group_name_Hall 'P 1'
_cell_length_a 3.8991
_cell_length_b 3.8991
_cell_length_c 13.1279
_cell_angle_alpha 81.46
_cell_angle_beta 81.46
_cell_angle_gamma 60.00
loop_
_atom_site_label
_atom_site_type_symbol
_atom_site_fract_x
_atom_site_fract_y
_atom_site_fract_z
Na1 Na 0.0000 0.0000 0.0000
Eu1 Eu 0.2502 0.2502 0.2495
Eu2 Eu 0.7498 0.7498 0.7505
Ac1 Ac 0.5000 0.5000 0.5000
# E_form: 0.05 eV/atom
# DOS at the Fermi energy: 14.7 states/eV per cell
# distance to the lowest polymorph of the same formula: 0.0 kJ per mole of atoms

(3)
# PBE NaAcEu2, relaxed
data_NaAcEu2
_chemical_formula_sum 'Na1 Ac1 Eu2'
_symmetry_space_group_name_H-M 'P 1'
_symmetry_Int_Tables_number 1
_symmetry_space_group_name_Hall 'P 1'
_cell_length_a 3.8883
_cell_length_b 3.8883
_cell_length_c 11.2582
_cell_angle_alpha 90.00
_cell_angle_beta 90.00
_cell_angle_gamma 90.00
loop_
_atom_site_label
_atom_site_type_symbol
_atom_site_fract_x
_atom_site_fract_y
_atom_site_fract_z
Na1 Na 0.5000 0.5000 0.5000
Eu1 Eu 0.0000 0.0000 0.2531
Eu2 Eu 0.0000 0.0000 0.7469
Ac1 Ac 0.5000 0.5000 0.0000
# E_form: 0.06 eV/atom
# DOS at the Fermi energy: 21.0 states/eV per cell
# distance to the lowest polymorph of the same formula: 1.6 kJ per mole of atoms

(4)
# PBE NaAcEu2, relaxed
data_NaAcEu2
_chemical_formula_sum 'Na1 Ac1 Eu2'
_symmetry_space_group_name_H-M 'P 1'
_symmetry_Int_Tables_number 1
_symmetry_space_group_name_Hall 'P 1'
_cell_length_a 6.2233
_cell_length_b 6.2233
_cell_length_c 6.2233
_cell_angle_alpha 60.00
_cell_angle_beta 60.00
_cell_angle_gamma 60.00
loop_
_atom_site_label
_atom_site_type_symbol
_atom_site_fract_x
_atom_site_fract_y
_atom_site_fract_z
Na1 Na 0.5000 0.5000 0.5000
Eu1 Eu 0.7500 0.7500 0.7500
Eu2 Eu 0.2500 0.2500 0.2500
Ac1 Ac 0.0000 0.0000 0.0000
# E_form: 0.19 eV/atom
# DOS at the Fermi energy: 18.4 states/eV per cell
# distance to the lowest polymorph of the same formula: 13.5 kJ per mole of atoms

(5)
# PBE NaAcEuPb, relaxed
data_NaAcEuPb
_chemical_formula_sum 'Na1 Ac1 Eu1 Pb1'
_symmetry_space_group_name_H-M 'P 1'
_symmetry_Int_Tables_number 1
_symmetry_space_group_name_Hall 'P 1'
_cell_length_a 5.8259
_cell_length_b 5.8259
_cell_length_c 5.8259
_cell_angle_alpha 60.00
_cell_angle_beta 60.00
_cell_angle_gamma 60.00
loop_
_atom_site_label
_atom_site_type_symbol
_atom_site_fract_x
_atom_site_fract_y
_atom_site_fract_z
Pb1 Pb 0.7500 0.7500 0.7500
Na1 Na 0.2500 0.2500 0.2500
Eu1 Eu 0.5000 0.5000 0.5000
Ac1 Ac 0.0000 0.0000 0.0000
# E_form: -0.26 eV/atom
# DOS at the Fermi energy: 12.3 states/eV per cell

(6)
# PBE NaAcPmEu, relaxed
data_NaAcPmEu
_chemical_formula_sum 'Na1 Ac1 Pm1 Eu1'
_symmetry_space_group_name_H-M 'P 1'
_symmetry_Int_Tables_number 1
_symmetry_space_group_name_Hall 'P 1'
_cell_length_a 6.0720
_cell_length_b 6.0720
_cell_length_c 6.0720
_cell_angle_alpha 60.00
_cell_angle_beta 60.00
_cell_angle_gamma 60.00
loop_
_atom_site_label
_atom_site_type_symbol
_atom_site_fract_x
_atom_site_fract_y
_atom_site_fract_z
Na1 Na 0.0000 0.0000 0.0000
Eu1 Eu 0.7500 0.7500 0.7500
Ac1 Ac 0.2500 0.2500 0.2500
Pm1 Pm 0.5000 0.5000 0.5000
# E_form: 0.23 eV/atom
# DOS at the Fermi energy: 11.0 states/eV per cell

(7)
# PBE NaAcPrEu, relaxed
data_NaAcPrEu
_chemical_formula_sum 'Na1 Ac1 Pr1 Eu1'
_symmetry_space_group_name_H-M 'P 1'
_symmetry_Int_Tables_number 1
_symmetry_space_group_name_Hall 'P 1'
_cell_length_a 6.0855
_cell_length_b 6.0855
_cell_length_c 6.0855
_cell_angle_alpha 60.00
_cell_angle_beta 60.00
_cell_angle_gamma 60.00
loop_
_atom_site_label
_atom_site_type_symbol
_atom_site_fract_x
_atom_site_fract_y
_atom_site_fract_z
Pr1 Pr 0.2500 0.2500 0.2500
Ac1 Ac 0.5000 0.5000 0.5000
Na1 Na 0.0000 0.0000 0.0000
Eu1 Eu 0.7500 0.7500 0.7500
# E_form: 0.24 eV/atom
# DOS at the Fermi energy: 10.3 states/eV per cell

(8)
# PBE AcEu2Nb, relaxed
data_AcEu2Nb
_chemical_formula_sum 'Ac1 Eu2 Nb1'
_symmetry_space_group_name_H-M 'P 1'
_symmetry_Int_Tables_number 1
_symmetry_space_group_name_Hall 'P 1'
_cell_length_a 3.4773
_cell_length_b 3.4773
_cell_length_c 12.7981
_cell_angle_alpha 82.19
_cell_angle_beta 82.19
_cell_angle_gamma 60.00
loop_
_atom_site_label
_atom_site_type_symbol
_atom_site_fract_x
_atom_site_fract_y
_atom_site_fract_z
Eu1 Eu 0.0780 0.0780 0.7660
Eu2 Eu 0.9220 0.9220 0.2340
Nb1 Nb 0.0000 0.0000 0.0000
Ac1 Ac 0.5000 0.5000 0.5000
# E_form: 0.80 eV/atom
# DOS at the Fermi energy: 6.5 states/eV per cell